1.
{
  "formula": "RbMg3Zn",
  "functional": "PBE",
  "state": "relaxed",
  "cell": [[7.3769, 0.0000, 0.0000], [0.0000, 7.3769, 0.0000], [0.0000, 0.0000, 7.3769]],
  "species": ["Rb", "Mg", "Mg", "Mg", "Zn"],
  "fractional_positions": [[0.0000, 0.0000, 0.0000], [0.0000, 0.0000, 0.5000], [0.0000, 0.5000, 0.0000], [0.5000, 0.0000, 0.0000], [0.5000, 0.5000, 0.5000]],
  "dos_at_fermi_per_ev_cell": 4.87,
  "dft_energy_ev_per_cell": -1.90,
  "formation_energy_ev_per_fu": 5.12
}

2.
{
  "formula": "Nd4Ag2HgPd",
  "functional": "PBE",
  "state": "relaxed",
  "cell": [[2.6499, 1.5299, 8.6045], [-2.6499, 1.5299, 8.6045], [0.0000, -3.0599, 8.6045]],
  "species": ["Nd", "Nd", "Nd", "Nd", "Ag", "Ag", "Hg", "Pd"],
  "fractional_positions": [[0.1195, 0.1195, 0.1195], [0.3704, 0.3704, 0.3704], [0.6296, 0.6296, 0.6296], [0.8805, 0.8805, 0.8805], [0.2446, 0.2446, 0.2446], [0.7554, 0.7554, 0.7554], [0.5000, 0.5000, 0.5000], [0.0000, 0.0000, 0.0000]],
  "dos_at_fermi_per_ev_cell": 7.43,
  "dft_energy_ev_per_cell": -33.72,
  "formation_energy_ev_per_fu": -3.46
}

3.
{
  "formula": "YNb3Zn",
  "functional": "PBE",
  "state": "relaxed",
  "cell": [[4.8521, 0.0000, 0.0000], [0.0000, 4.8521, 0.0000], [0.0000, 0.0000, 4.8521]],
  "species": ["Y", "Nb", "Nb", "Nb", "Zn"],
  "fractional_positions": [[0.0000, 0.0000, 0.0000], [0.0000, 0.5000, 0.5000], [0.5000, 0.0000, 0.5000], [0.5000, 0.5000, 0.0000], [0.5000, 0.5000, 0.5000]],
  "dos_at_fermi_per_ev_cell": 13.15,
  "dft_energy_ev_per_cell": -33.19,
  "formation_energy_ev_per_fu": 4.76
}

4.
{
  "formula": "NbAgAu2",
  "functional": "PBE",
  "state": "relaxed",
  "cell": [[-3.7523, 3.7523, 2.8220], [3.7523, -3.7523, 2.8220], [3.7523, 3.7523, -2.8220]],
  "species": ["Nb", "Nb", "Ag", "Ag", "Au", "Au", "Au", "Au"],
  "fractional_positions": [[0.0000, 0.0000, 0.0000], [0.7500, 0.2500, 0.5000], [0.2500, 0.7500, 0.5000], [0.5000, 0.5000, 0.0000], [0.1159, 0.6250, 0.9909], [0.3750, 0.3659, 0.4909], [0.6341, 0.1250, 0.0091], [0.8750, 0.8841, 0.5091]],
  "dos_at_fermi_per_ev_cell": 12.35,
  "dft_energy_ev_per_cell": -35.07,
  "formation_energy_ev_per_fu": 1.94
}

5.
{
  "formula": "ThNiH2",
  "functional": "PBE",
  "state": "relaxed",
  "cell": [[3.6915, 0.0000, 0.0000], [0.0000, 4.1893, 0.0000], [-1.8379, 0.0000, 6.2687]],
  "species": ["Th", "Th", "Ni", "Ni", "H", "H", "H", "H"],
  "fractional_positions": [[0.1411, 0.2500, 0.2814], [0.8589, 0.7500, 0.7186], [0.4369, 0.2500, 0.8768], [0.5631, 0.7500, 0.1232], [0.0527, 0.7500, 0.1059], [0.2401, 0.7500, 0.4797], [0.7599, 0.2500, 0.5203], [0.9473, 0.2500, 0.8941]],
  "dos_at_fermi_per_ev_cell": 4.20,
  "dft_energy_ev_per_cell": -43.47
}

6.
{
  "formula": "Ho2Zn3Ga4",
  "functional": "PBE",
  "state": "relaxed",
  "cell": [[2.8636, -7.5583, 0.0000], [2.8636, 7.5583, 0.0000], [0.0000, 0.0000, 7.6917]],
  "species": ["Ho", "Ho", "Ho", "Ho", "Zn", "Zn", "Zn", "Zn", "Zn", "Zn", "Ga", "Ga", "Ga", "Ga", "Ga", "Ga", "Ga", "Ga"],
  "fractional_positions": [[0.1076, 0.8924, 0.9037], [0.3924, 0.6076, 0.4037], [0.6076, 0.3924, 0.5963], [0.8924, 0.1076, 0.0963], [0.0000, 0.0000, 0.5000], [0.0199, 0.4801, 0.7500], [0.4801, 0.0199, 0.2500], [0.5000, 0.5000, 0.0000], [0.5199, 0.9801, 0.7500], [0.9801, 0.5199, 0.2500], [0.1748, 0.8252, 0.5216], [0.1899, 0.3101, 0.7500], [0.3101, 0.1899, 0.2500], [0.3252, 0.6748, 0.0216], [0.6748, 0.3252, 0.9784], [0.6899, 0.8101, 0.7500], [0.8101, 0.6899, 0.2500], [0.8252, 0.1748, 0.4784]],
  "dos_at_fermi_per_ev_cell": 7.07,
  "dft_energy_ev_per_cell": -57.45,
  "formation_energy_ev_per_fu": -3.64
}

7.
{
  "formula": "V2NiHgPd",
  "functional": "PBE",
  "state": "relaxed",
  "cell": [[4.8174, 0.0000, 0.0000], [0.0000, 4.8174, 0.0000], [0.0000, 0.0000, 4.6171]],
  "species": ["V", "V", "Ni", "Hg", "Pd"],
  "fractional_positions": [[0.0000, 0.5000, 0.0000], [0.5000, 0.0000, 0.0000], [0.0000, 0.0000, 0.5000], [0.0000, 0.0000, 0.0000], [0.5000, 0.5000, 0.5000]],
  "dos_at_fermi_per_ev_cell": 7.70,
  "dft_energy_ev_per_cell": -20.55,
  "formation_energy_ev_per_fu": 8.97
}

8.
{
  "formula": "CsAlV2H",
  "functional": "PBE",
  "state": "relaxed",
  "cell": [[5.3316, 0.0000, 0.0000], [0.0000, 5.3316, 0.0000], [0.0000, 0.0000, 4.1622]],
  "species": ["Cs", "Al", "V", "V", "H"],
  "fractional_positions": [[0.0000, 0.0000, 0.0000], [0.5000, 0.5000, 0.5000], [0.0000, 0.5000, 0.5000], [0.5000, 0.0000, 0.5000], [0.5000, 0.5000, 0.0000]],
  "dos_at_fermi_per_ev_cell": 5.85,
  "dft_energy_ev_per_cell": -19.40
}

9.
{
  "formula": "Ac3TbGa2O9",
  "functional": "PBE",
  "state": "relaxed",
  "cell": [[5.7595, 0.0000, 0.0000], [-2.8798, 4.9879, 0.0000], [0.0000, 0.0000, 7.3614]],
  "species": ["Ac", "Ac", "Ac", "Tb", "Ga", "Ga", "O", "O", "O", "O", "O", "O", "O", "O", "O"],
  "fractional_positions": [[0.0000, 0.0000, 0.0000], [0.3333, 0.6667, 0.7182], [0.6667, 0.3333, 0.2818], [0.0000, 0.0000, 0.5000], [0.3333, 0.6667, 0.1724], [0.6667, 0.3333, 0.8276], [0.0000, 0.5000, 0.0000], [0.1691, 0.3382, 0.3069], [0.1691, 0.8309, 0.3069], [0.3382, 0.1691, 0.6931], [0.5000, 0.0000, 0.0000], [0.5000, 0.5000, 0.0000], [0.6618, 0.8309, 0.3069], [0.8309, 0.1691, 0.6931], [0.8309, 0.6618, 0.6931]],
  "dos_at_fermi_per_ev_cell": 0.00,
  "raw_formation_energy_ev_per_atom": -2.83,
  "dft_energy_ev_per_cell": -110.04
}

10.
{
  "formula": "AlAsOs",
  "functional": "PBE",
  "state": "relaxed",
  "cell": [[0.0000, 2.9640, 2.9640], [2.9640, 0.0000, 2.9640], [2.9640, 2.9640, 0.0000]],
  "species": ["Al", "As", "Os"],
  "fractional_positions": [[0.0000, 0.0000, 0.0000], [0.5000, 0.5000, 0.5000], [0.2500, 0.2500, 0.2500]],
  "dos_at_fermi_per_ev_cell": 2.46,
  "dft_energy_ev_per_cell": -19.49,
  "formation_energy_ev_per_fu": 0.13
}

11.
{
  "formula": "Li2DyZnHg4",
  "functional": "PBE",
  "state": "relaxed",
  "cell": [[2.3403, 1.3512, 8.7950], [-2.3403, 1.3512, 8.7950], [0.0000, -2.7023, 8.7950]],
  "species": ["Li", "Li", "Dy", "Zn", "Hg", "Hg", "Hg", "Hg"],
  "fractional_positions": [[0.2358, 0.2358, 0.2358], [0.7642, 0.7642, 0.7642], [0.0000, 0.0000, 0.0000], [0.5000, 0.5000, 0.5000], [0.1238, 0.1238, 0.1238], [0.3890, 0.3890, 0.3890], [0.6110, 0.6110, 0.6110], [0.8762, 0.8762, 0.8762]],
  "dos_at_fermi_per_ev_cell": 2.47,
  "dft_energy_ev_per_cell": -13.29,
  "formation_energy_ev_per_fu": -2.38
}

12.
{
  "formula": "Tb8ZnIr2",
  "functional": "PBE",
  "state": "relaxed",
  "cell": [[4.3206, -6.5458, 0.0000], [4.3206, 6.5458, 0.0000], [-1.3241, 0.0000, 5.3892]],
  "species": ["Tb", "Tb", "Tb", "Tb", "Tb", "Tb", "Tb", "Tb", "Zn", "Ir", "Ir"],
  "fractional_positions": [[0.0000, 0.0000, 0.0000], [0.0483, 0.3079, 0.6111], [0.1351, 0.6207, 0.1963], [0.3079, 0.0483, 0.6111], [0.4476, 0.7072, 0.7824], [0.6207, 0.1351, 0.1963], [0.7072, 0.4476, 0.7824], [0.7558, 0.7558, 0.3928], [0.3786, 0.3786, 0.1892], [0.0686, 0.6871, 0.6966], [0.6871, 0.0686, 0.6966]],
  "dos_at_fermi_per_ev_cell": 12.36,
  "dft_energy_ev_per_cell": -59.76,
  "formation_energy_ev_per_fu": -3.72
}

13.
{
  "formula": "BiIr",
  "functional": "PBE",
  "state": "relaxed",
  "cell": [[10.0778, 0.0000, 0.0000], [-5.0389, 8.7276, 0.0000], [0.0000, 0.0000, 4.2174]],
  "species": ["Bi", "Bi", "Bi", "Bi", "Bi", "Bi", "Ir", "Ir", "Ir", "Ir", "Ir", "Ir"],
  "fractional_positions": [[0.1232, 0.7533, 0.2500], [0.2467, 0.3699, 0.2500], [0.3699, 0.1232, 0.7500], [0.6301, 0.8768, 0.2500], [0.7533, 0.6301, 0.7500], [0.8768, 0.2467, 0.7500], [0.0194, 0.4350, 0.2500], [0.4156, 0.9806, 0.2500], [0.4350, 0.4156, 0.7500], [0.5650, 0.5844, 0.2500], [0.5844, 0.0194, 0.7500], [0.9806, 0.5650, 0.7500]],
  "dos_at_fermi_per_ev_cell": 7.74,
  "dft_energy_ev_per_cell": -71.03,
  "formation_energy_ev_per_fu": 0.90
}

14.
{
  "formula": "Li3TmSn3",
  "functional": "PBE",
  "state": "relaxed",
  "cell": [[7.0930, 0.0000, 0.0000], [0.0000, 7.0930, 0.0000], [0.0000, 0.0000, 7.0930]],
  "species": ["Li", "Li", "Li", "Li", "Li", "Li", "Tm", "Tm", "Sn", "Sn", "Sn", "Sn", "Sn", "Sn"],
  "fractional_positions": [[0.0000, 0.2500, 0.5000], [0.0000, 0.7500, 0.5000], [0.2500, 0.5000, 0.0000], [0.5000, 0.0000, 0.2500], [0.5000, 0.0000, 0.7500], [0.7500, 0.5000, 0.0000], [0.0000, 0.0000, 0.0000], [0.5000, 0.5000, 0.5000], [0.0000, 0.5000, 0.2500], [0.0000, 0.5000, 0.7500], [0.2500, 0.0000, 0.5000], [0.5000, 0.2500, 0.0000], [0.5000, 0.7500, 0.0000], [0.7500, 0.0000, 0.5000]],
  "dos_at_fermi_per_ev_cell": 12.64,
  "dft_energy_ev_per_cell": -40.73,
  "formation_energy_ev_per_fu": 1.86
}

15.
{
  "formula": "Y2BeGa4Pd3",
  "functional": "PBE",
  "state": "relaxed",
  "cell": [[4.0192, 0.0000, 0.0000], [0.0000, 4.0192, 0.0000], [0.0000, 0.0000, 11.2194]],
  "species": ["Y", "Y", "Be", "Ga", "Ga", "Ga", "Ga", "Pd", "Pd", "Pd"],
  "fractional_positions": [[0.0000, 0.5000, 0.2407], [0.5000, 0.0000, 0.7593], [0.5000, 0.5000, 0.0000], [0.0000, 0.0000, 0.5000], [0.0000, 0.5000, 0.8704], [0.5000, 0.0000, 0.1296], [0.5000, 0.5000, 0.5000], [0.0000, 0.0000, 0.0000], [0.0000, 0.5000, 0.6459], [0.5000, 0.0000, 0.3541]],
  "dos_at_fermi_per_ev_cell": 5.26,
  "dft_energy_ev_per_cell": -51.00,
  "formation_energy_ev_per_fu": -6.66
}

16.
{
  "formula": "Sm8Te4P3S",
  "functional": "PBE",
  "state": "relaxed",
  "cell": [[4.1878, 2.4178, 7.2261], [-4.1878, 2.4178, 7.2261], [0.0000, -4.8357, 7.2261]],
  "species": ["Sm", "Sm", "Sm", "Sm", "Sm", "Sm", "Sm", "Sm", "Te", "Te", "Te", "Te", "P", "P", "P", "S"],
  "fractional_positions": [[0.2335, 0.7384, 0.7384], [0.2372, 0.2372, 0.2372], [0.2616, 0.2616, 0.7665], [0.2616, 0.7665, 0.2616], [0.7384, 0.2335, 0.7384], [0.7384, 0.7384, 0.2335], [0.7628, 0.7628, 0.7628], [0.7665, 0.2616, 0.2616], [0.0000, 0.0000, 0.0000], [0.0000, 0.5000, 0.5000], [0.5000, 0.0000, 0.5000], [0.5000, 0.5000, 0.0000], [0.0000, 0.0000, 0.5000], [0.0000, 0.5000, 0.0000], [0.5000, 0.0000, 0.0000], [0.5000, 0.5000, 0.5000]],
  "dos_at_fermi_per_ev_cell": 7.14,
  "raw_formation_energy_ev_per_atom": -1.62,
  "dft_energy_ev_per_cell": -96.58
}

17.
{
  "formula": "SbTe2AsBr",
  "functional": "PBE",
  "state": "relaxed",
  "cell": [[5.4801, 0.0000, 0.0000], [0.0000, 5.4801, 0.0000], [0.0000, 0.0000, 5.4576]],
  "species": ["Sb", "Te", "Te", "As", "Br"],
  "fractional_positions": [[0.0000, 0.0000, 0.0000], [0.0000, 0.5000, 0.5000], [0.5000, 0.0000, 0.5000], [0.0000, 0.0000, 0.5000], [0.5000, 0.5000, 0.0000]],
  "dos_at_fermi_per_ev_cell": 5.47,
  "raw_formation_energy_ev_per_atom": 0.51,
  "dft_energy_ev_per_cell": -14.19
}

18.
{
  "formula": "CaTl4Pd15",
  "functional": "PBE",
  "state": "relaxed",
  "cell": [[4.0945, 0.0000, 0.0000], [0.0000, 4.0945, 0.0000], [0.0000, 0.0000, 20.4441]],
  "species": ["Ca", "Tl", "Tl", "Tl", "Tl", "Pd", "Pd", "Pd", "Pd", "Pd", "Pd", "Pd", "Pd", "Pd", "Pd", "Pd", "Pd", "Pd", "Pd", "Pd"],
  "fractional_positions": [[0.0000, 0.0000, 0.0000], [0.0000, 0.0000, 0.2019], [0.0000, 0.0000, 0.4004], [0.0000, 0.0000, 0.5996], [0.0000, 0.0000, 0.7981], [0.0000, 0.5000, 0.1029], [0.0000, 0.5000, 0.3010], [0.0000, 0.5000, 0.5000], [0.0000, 0.5000, 0.6990], [0.0000, 0.5000, 0.8971], [0.5000, 0.0000, 0.1029], [0.5000, 0.0000, 0.3010], [0.5000, 0.0000, 0.5000], [0.5000, 0.0000, 0.6990], [0.5000, 0.0000, 0.8971], [0.5000, 0.5000, 0.0000], [0.5000, 0.5000, 0.2007], [0.5000, 0.5000, 0.4005], [0.5000, 0.5000, 0.5995], [0.5000, 0.5000, 0.7993]],
  "dos_at_fermi_per_ev_cell": 22.92,
  "dft_energy_ev_per_cell": -94.23,
  "formation_energy_ev_per_fu": -4.87
}